# CaSnH2

A relaxed CaSnH2 crystal (PBE, Alexandria).

Output
- DOS(E_F): 1.690 states/eV/f.u.
- SG: No. 122
- Size of the total moment: 0.0 μB/f.u.
- Theoretical density: 3.85 g cm⁻³
- Offset from the most stable computed form: 199 meV/atom

Lattice parameters (Å, degrees): 5.0622 5.0622 10.8270 90.00 90.00 90.00
Element x y z (fractional)
Ca (0.0000, 0.0000, 0.0000)
Ca (0.0000, 0.5000, 0.2500)
Ca (0.5000, 0.0000, 0.7500)
Ca (0.5000, 0.5000, 0.5000)
Sn (0.0000, 0.0000, 0.5000)
Sn (0.0000, 0.5000, 0.7500)
Sn (0.5000, 0.0000, 0.2500)
Sn (0.5000, 0.5000, 0.0000)
H (0.2138, 0.2500, 0.1250)
H (0.2500, 0.7138, 0.3750)
H (0.2500, 0.7862, 0.8750)
H (0.2862, 0.2500, 0.6250)
H (0.7138, 0.7500, 0.6250)
H (0.7500, 0.2138, 0.8750)
H (0.7500, 0.2862, 0.3750)
H (0.7862, 0.7500, 0.1250)